(1)
The following is a DFT calculation (GGA-PBE) of an optimized crystal structure of Li3In4Ir.

a = 4.729 Å, b = 4.729 Å, c = 7.233 Å
α = 108.86°, β = 108.86°, γ = 90.49°
Fractional coordinates of all 8 atoms:
Li: 0.000 0.000 0.000
Li: 0.263 0.263 0.525
Li: 0.737 0.737 0.475
In: 0.123 0.625 0.247
In: 0.375 0.877 0.753
In: 0.625 0.123 0.247
In: 0.877 0.375 0.753
Ir: 0.500 0.500 0.000

Values from the calculation:
- magnetization (Bohr magnetons per cell) = 0.000
- ρ (g cm⁻³) = 7.8
- calculated total energy (eV per atom) = -3.467
- V (Å³ per atom) = 17.96

=====

(2)
The following is a DFT calculation (GGA-PBE) of an optimized crystal structure of LiIn2Ir.

a = 3.221 Å, b = 3.948 Å, c = 5.743 Å
α = 90.00°, β = 90.00°, γ = 90.00°
Fractional coordinates of all 4 atoms:
Li: 0.000 0.000 0.000
In: 0.000 0.000 0.554
In: 0.500 0.500 0.233
Ir: 0.500 0.500 0.756

Values from the calculation:
- magnetization (Bohr magnetons per cell) = 0.000
- ρ (g cm⁻³) = 9.7
- calculated total energy (eV per atom) = -4.153
- V (Å³ per atom) = 18.26